Entry P
## Tb7NdEr3 (GGA-PBE)

Data for crystalline Tb7NdEr3 at its relaxed geometry.

```
Tb7NdEr3
1.0
6.960 0.000 0.000
0.000 5.552 0.000
-3.319 0.000 9.290
Tb Nd Er
7 1 3
Direct
0.000 0.000 0.000
0.147 0.500 0.290
0.326 0.500 0.643
0.424 0.000 0.832
0.576 0.000 0.168
0.674 0.500 0.357
0.853 0.500 0.710
0.000 0.000 0.500
0.277 0.500 0.997
0.500 0.000 0.500
0.723 0.500 0.003
```

Computed properties:
Volume: 32.63 Å³ per atom
SG: No. 10
Total magnetic moment: 0.00 μB/f.u.
Mass density: 8.135 g/cm3

---

Entry Q
## Tb7NdEr3 (GGA-PBE)

Data for crystalline Tb7NdEr3 at its relaxed geometry.

```
Tb7NdEr3
1.0
7.069 0.000 0.000
-3.534 6.122 0.000
0.000 0.000 8.584
Tb Nd Er
7 1 3
Direct
0.000 0.000 0.000
0.165 0.331 0.669
0.165 0.835 0.669
0.501 0.002 0.006
0.501 0.499 0.006
0.669 0.835 0.669
0.998 0.499 0.006
0.667 0.333 0.676
0.332 0.166 0.336
0.834 0.166 0.336
0.834 0.668 0.336
```

Computed properties:
Volume: 33.77 Å³ per atom
SG: No. 156
Total magnetic moment: 0.00 μB/f.u.
Mass density: 7.861 g/cm3

---

If we sort the structures by their calculated energies, the order from most to least stable is entry P, entry Q.

---

Entry P
## Tb7Nd2Er (GGA-PBE)

Data for crystalline Tb7Nd2Er at its relaxed geometry.

```
Tb7Nd2Er
1.0
8.294 -2.831 0.000
8.294 2.831 0.000
-1.512 0.000 6.903
Tb Nd Er
7 2 1
Direct
0.000 0.000 0.000
0.210 0.210 0.856
0.401 0.401 0.701
0.403 0.403 0.201
0.597 0.597 0.799
0.599 0.599 0.299
0.790 0.790 0.144
0.211 0.211 0.354
0.789 0.789 0.646
0.000 0.000 0.500
```

Computed properties:
Volume: 32.42 Å³ per atom
SG: No. 12
Total magnetic moment: 0.00 μB/f.u.
Mass density: 8.033 g/cm3

---

Entry Q
## Tb7Nd2Er (GGA-PBE)

Data for crystalline Tb7Nd2Er at its relaxed geometry.

```
Tb7Nd2Er
1.0
3.272 -14.468 0.000
3.272 14.468 0.000
0.000 0.000 3.508
Tb Nd Er
7 2 1
Direct
0.000 0.000 0.000
0.157 0.352 0.000
0.315 0.685 0.500
0.352 0.157 0.000
0.648 0.843 0.000
0.685 0.315 0.500
0.843 0.648 0.000
0.207 0.793 0.000
0.793 0.207 0.000
0.500 0.500 0.500
```

Computed properties:
Volume: 33.22 Å³ per atom
SG: No. 65
Total magnetic moment: 0.00 μB/f.u.
Mass density: 7.840 g/cm3

---

If we sort the structures by their calculated energies, the order from most to least stable is entry P, entry Q.

---

Entry P
## Tb3Nd6Er (GGA-PBE)

Data for crystalline Tb3Nd6Er at its relaxed geometry.

```
Tb3Nd6Er
1.0
4.926 -10.723 0.000
4.926 10.723 0.000
0.000 0.000 6.449
Tb Nd Er
6 12 2
Direct
0.079 0.921 0.500
0.207 0.458 0.905
0.458 0.207 0.405
0.542 0.793 0.905
0.793 0.542 0.405
0.921 0.079 0.000
0.044 0.606 0.735
0.120 0.242 0.480
0.199 0.801 0.211
0.242 0.120 0.980
0.394 0.956 0.735
0.484 0.516 0.233
0.516 0.484 0.733
0.606 0.044 0.235
0.758 0.880 0.480
0.801 0.199 0.711
0.880 0.758 0.980
0.956 0.394 0.235
0.342 0.658 0.431
0.658 0.342 0.931
```

Computed properties:
Volume: 34.07 Å³ per atom
SG: No. 36
Total magnetic moment: 0.00 μB/f.u.
Mass density: 7.358 g/cm3

---

Entry Q
## Tb3Nd6Er (GGA-PBE)

Data for crystalline Tb3Nd6Er at its relaxed geometry.

```
Tb3Nd6Er
1.0
5.491 -9.676 0.000
5.491 9.676 0.000
0.000 0.000 6.415
Tb Nd Er
6 12 2
Direct
0.115 0.885 0.500
0.215 0.445 0.114
0.445 0.215 0.614
0.555 0.785 0.114
0.785 0.555 0.614
0.885 0.115 0.000
0.021 0.441 0.720
0.127 0.212 0.531
0.212 0.127 0.031
0.221 0.779 0.928
0.441 0.021 0.220
0.464 0.536 0.700
0.536 0.464 0.200
0.559 0.979 0.720
0.779 0.221 0.428
0.788 0.873 0.531
0.873 0.788 0.031
0.979 0.559 0.220
0.306 0.694 0.468
0.694 0.306 0.968
```

Computed properties:
Volume: 34.08 Å³ per atom
SG: No. 36
Total magnetic moment: 0.00 μB/f.u.
Mass density: 7.355 g/cm3

---

If we sort the structures by their calculated energies, the order from most to least stable is entry P, entry Q.

---

Entry P
## Tb9Nd2Er (GGA-PBE)

Data for crystalline Tb9Nd2Er at its relaxed geometry.

```
Tb9Nd2Er
1.0
5.057 0.000 0.000
0.000 5.057 0.000
0.000 0.000 15.168
Tb Nd Er
9 2 1
Direct
0.000 0.000 0.000
0.000 0.000 0.332
0.000 0.000 0.668
0.000 0.500 0.164
0.000 0.500 0.500
0.000 0.500 0.836
0.500 0.000 0.164
0.500 0.000 0.500
0.500 0.000 0.836
0.500 0.500 0.332
0.500 0.500 0.668
0.500 0.500 0.000
```

Computed properties:
Volume: 32.32 Å³ per atom
SG: No. 123
Total magnetic moment: 0.00 μB/f.u.
Mass density: 8.075 g/cm3

---

Entry Q
## Tb9Nd2Er (GGA-PBE)

Data for crystalline Tb9Nd2Er at its relaxed geometry.

```
Tb9Nd2Er
1.0
11.308 0.000 0.000
-5.654 9.793 0.000
0.000 0.000 3.497
Tb Nd Er
9 2 1
Direct
0.000 0.500 0.000
0.173 0.345 0.500
0.173 0.827 0.500
0.345 0.173 0.500
0.500 0.000 0.000
0.500 0.500 0.000
0.655 0.827 0.500
0.827 0.173 0.500
0.827 0.655 0.500
0.333 0.667 0.000
0.667 0.333 0.000
0.000 0.000 0.000
```

Computed properties:
Volume: 32.27 Å³ per atom
SG: No. 191
Total magnetic moment: 0.00 μB/f.u.
Mass density: 8.089 g/cm3

---

If we sort the structures by their calculated energies, the order from most to least stable is entry P, entry Q.